(1)
Material: TbNd2ErTm5
Method: DFT, PBE
State: relaxed

Computed properties:
space-group type = I4/mcm (140)
size of the total moment = 0.00 Bohr magnetons per cell
ΔH_f (0 K) = 0.27 eV/atom
total DFT energy (no corrections) = -4.2908 eV/atom

Unit cell a=9.8374 b=9.8374 c=9.8374 alpha=128.28 beta=128.28 gamma=76.17
With the nearest neighbours (Å) after each atom.
Atoms (fractional coordinates):
Tb: 0.2500 0.2500 0.0000  10 Tm 3.51-3.87
Tb: 0.7500 0.7500 0.0000  10 Tm 3.51-3.87
Nd: 0.1174 0.6174 0.7348  1 Nd 2.85, 2 Tm 2.99
Nd: 0.3826 0.1174 0.5000  1 Nd 2.85, 2 Tm 2.99
Nd: 0.6174 0.8826 0.5000  1 Nd 2.85, 2 Tm 2.99
Nd: 0.8826 0.3826 0.2652  1 Nd 2.85, 2 Tm 2.99
Er: 0.2500 0.7500 0.5000  4 Tm 3.09
Er: 0.7500 0.2500 0.5000  4 Tm 3.09
Tm: 0.0000 0.0000 0.0000  4 Nd 3.43, 8 Tm 3.76
Tm: 0.0726 0.1470 0.5000  1 Nd 2.99, 1 Er 3.09
Tm: 0.1470 0.6470 0.0744  1 Nd 2.99, 1 Er 3.09
Tm: 0.3530 0.4274 0.5000  1 Nd 2.99, 1 Er 3.09
Tm: 0.4274 0.9274 0.0744  1 Nd 2.99, 1 Er 3.09
Tm: 0.5000 0.5000 0.0000  4 Nd 3.43, 8 Tm 3.76
Tm: 0.5726 0.0726 0.9256  1 Nd 2.99, 1 Er 3.09
Tm: 0.6470 0.5726 0.5000  1 Nd 2.99, 1 Er 3.09
Tm: 0.8530 0.3530 0.9256  1 Nd 2.99, 1 Er 3.09
Tm: 0.9274 0.8530 0.5000  1 Nd 2.99, 1 Er 3.09

=====

(2)
Material: KFeTcCl2
Method: DFT, PBE
State: relaxed

Computed properties:
space-group type = P4/mmm (123)
size of the total moment = 8.40 Bohr magnetons per cell
total DFT energy (no corrections) = -3.4982 eV/atom
uncorrected formation energy = 1.226 eV per atom

Unit cell a=5.4554 b=5.4554 c=5.7802 alpha=90.00 beta=90.00 gamma=90.00
With the nearest neighbours (Å) after each atom.
Atoms (fractional coordinates):
K: 0.0000 0.0000 0.0000  4 Cl 2.73, 2 Fe 2.89
Fe: 0.0000 0.0000 0.5000  2 K 2.89
Tc: 0.5000 0.5000 0.5000  4 Fe 3.86, 8 Cl 3.97
Cl: 0.0000 0.5000 0.0000  2 K 2.73
Cl: 0.5000 0.0000 0.0000  2 K 2.73

=====

What is the size of the total moment in the second record? 8.40 Bohr magnetons per cell

=====

Which of these has the highest total DFT energy (no corrections)? KFeTcCl2

=====

Number 2 is which compound? KFeTcCl2